Here is a relaxed structure of K2CeEr2Se6 from the Alexandria database. Energies are from PBE-GGA.

Cell and atoms, written as POSCAR:
```
K2CeEr2Se6
1.0
-3.6223 -3.3937 5.2230
-1.8380 -0.9881 -6.8966
6.8203 -4.5776 0.0955
Se K Er Ce
6 2 2 1
Cartesian
3.1980 -4.6302 1.7072
0.5903 -2.5488 -0.4190
-2.4362 -5.1356 0.7774
-1.8381 -4.3292 -3.2852
0.7696 -6.4106 -1.1591
3.7961 -3.8238 -2.3554
-3.3246 -2.9924 3.2011
-2.1357 -1.3894 -4.8747
0.3825 -4.8807 1.2313
0.9774 -4.0787 -2.8093
3.4101 -2.2888 0.0478
```

Values from the calculation:
- formation energy (no corrections) (meV per atom) = -1724
- size of the total moment (μB/cell) = 0.000

Here is a relaxed structure of Er3Fe8Co from the Alexandria database. Energies are from PBE-GGA.

Cell and atoms, written as POSCAR:
```
Er3Fe8Co
1.0
-2.9972 -2.9222 2.7550
1.4690 -4.6252 1.2498
2.9078 0.4137 8.1599
Fe Co Er
8 1 3
Cartesian
2.9853 -2.4639 7.4661
-0.6467 -1.7789 4.2233
0.3981 -5.8960 7.8522
0.8370 -0.3324 2.8596
1.5641 -2.6220 3.4782
0.7476 -1.6106 8.2202
1.4836 -3.9281 8.8465
-0.2945 -2.3316 1.7641
1.6053 -0.7029 5.5586
-0.5830 -4.6580 3.5403
2.8479 0.3623 8.0403
0.7338 -3.5291 6.1703
```

Values from the calculation:
- formation energy (eV per atom) = -0.050
- size of the total moment (μB/cell) = 17.419

Here is a relaxed structure of La3NbCl3O6 from the Alexandria database. Energies are from PBE-GGA.

Cell and atoms, written as POSCAR:
```
La3NbCl3O6
1.0
9.6209 0.0000 0.0000
-4.8105 8.3320 0.0000
0.0000 0.0000 5.4039
Cl O La Nb
6 12 6 2
Cartesian
8.2210 1.5817 4.0530
4.1406 6.3287 4.0530
2.0698 0.4215 4.0530
2.7407 7.9104 1.3510
0.6698 2.0033 1.3510
-3.4105 6.7502 1.3510
5.3559 1.3177 5.3308
1.5368 5.2972 2.6289
3.2737 3.0348 5.3308
-0.9913 4.3524 0.0731
-0.5455 7.0143 0.0731
5.3559 1.3177 2.7751
5.8018 3.9795 2.7751
1.5368 5.2972 0.0731
5.8018 3.9795 5.3308
-0.5455 7.0143 2.6289
-0.9913 4.3524 2.6289
3.2737 3.0348 2.7751
3.7246 4.9653 1.3510
-2.4378 5.7082 4.0530
3.4585 0.7429 1.3510
7.2483 2.6237 1.3510
1.0859 3.3666 4.0530
1.3519 7.5891 4.0530
4.8105 2.7773 4.0530
0.0000 5.5546 1.3510
```

Values from the calculation:
- formation energy (no corrections) (meV per atom) = -2842
- size of the total moment (μB/cell) = 1.917

Here is a relaxed structure of LiZr2Pb from the Alexandria database. Energies are from PBE-GGA.

Cell and atoms, written as POSCAR:
```
LiZr2Pb
1.0
-0.6131 -4.0595 -3.7867
1.7715 -5.0066 -1.7293
-3.1598 -3.8732 1.8793
Zr Li Pb
2 1 1
Cartesian
0.9467 -9.3041 -5.3801
-0.3107 -2.9713 -1.0076
-1.2209 -6.6922 -1.6656
-1.2587 -9.5076 -2.9177
```

Values from the calculation:
- formation energy (eV per atom) = -0.048
- size of the total moment (μB/cell) = 0.000